# 1
Compound: CrCo2Ir
Source: Alexandria
Functional: PBE-GGA
Structure: relaxed

* formation energy: 0.207 eV/atom
* electronic total energy: -7.97 eV/atom
* space-group type: No. 225

Lattice parameters (Å, degrees): 4.1035 4.1035 4.1035 60.00 60.00 60.00
With the nearest neighbours (Å) after each atom.
Sites, in units of the cell vectors:
Cr  0.0000  0.0000  0.0000  8 Co 2.51
Co  0.2500  0.2500  0.2500  4 Cr 2.51, 4 Ir 2.51
Co  0.7500  0.7500  0.7500  4 Cr 2.51, 4 Ir 2.51
Ir  0.5000  0.5000  0.5000  8 Co 2.51

=====

# 2
Compound: LiDyI4
Source: Alexandria
Functional: PBE-GGA
Structure: relaxed

* electronic total energy: -3.44 eV/atom
* E_form (uncorrected): -1322 meV/atom
* space-group type: No. 12

Lattice parameters (Å, degrees): 8.9742 8.9742 7.5470 114.58 114.58 27.96
With the nearest neighbours (Å) after each atom.
Sites, in units of the cell vectors:
Li  0.0000  0.0000  0.0000  6 I 3.00-3.14
Dy  0.5000  0.5000  0.5000  6 I 2.99-3.07
I  0.1148  0.1148  0.4532  2 Dy 3.07, 1 Li 3.14
I  0.3954  0.3954  0.0650  1 Dy 2.99, 2 Li 3.00
I  0.6046  0.6046  0.9350  1 Dy 2.99, 2 Li 3.00
I  0.8852  0.8852  0.5468  2 Dy 3.07, 1 Li 3.14

=====

# 3
Compound: Mg2FeRh2
Source: Alexandria
Functional: PBE-GGA
Structure: relaxed

* formation energy: -0.181 eV/atom
* electronic total energy: -5.45 eV/atom
* space-group type: No. 127

Lattice parameters (Å, degrees): 6.4010 6.4010 4.0224 90.00 90.00 90.00
With the nearest neighbours (Å) after each atom.
Sites, in units of the cell vectors:
Mg  0.1680  0.3320  0.0000  6 Rh 2.66-2.82
Mg  0.3320  0.8320  0.0000  6 Rh 2.66-2.82
Mg  0.6680  0.1680  0.0000  6 Rh 2.66-2.82
Mg  0.8320  0.6680  0.0000  6 Rh 2.66-2.82
Fe  0.0000  0.0000  0.5000  4 Rh 2.47
Fe  0.5000  0.5000  0.5000  4 Rh 2.47
Rh  0.1398  0.6398  0.5000  2 Fe 2.47, 1 Rh 2.53, 2 Mg 2.66
Rh  0.3602  0.1398  0.5000  2 Fe 2.47, 1 Rh 2.53, 2 Mg 2.66
Rh  0.6398  0.8602  0.5000  2 Fe 2.47, 1 Rh 2.53, 2 Mg 2.66
Rh  0.8602  0.3602  0.5000  2 Fe 2.47, 1 Rh 2.53, 2 Mg 2.66

=====

# 4
Compound: FeAs2Cl
Source: Alexandria
Functional: PBE-GGA
Structure: relaxed

* electronic total energy: -4.99 eV/atom
* E_form (uncorrected): -91 meV/atom
* space-group type: No. 8

Lattice parameters (Å, degrees): 4.7162 4.7162 7.1657 105.02 105.02 37.51
With the nearest neighbours (Å) after each atom.
Sites, in units of the cell vectors:
Fe  0.0000  0.0000  0.0000  2 Cl 2.33, 5 As 2.51-2.60
As  0.2675  0.2675  0.9300  1 As 2.39, 3 Fe 2.51-2.57
As  0.4123  0.4123  0.6949  1 As 2.39, 2 Fe 2.60
Cl  0.5973  0.5973  0.2510  2 Fe 2.33

=====

# 5
Compound: TbCe2Al2Si2
Source: Alexandria
Functional: PBE-GGA
Structure: relaxed

* electronic total energy: -5.37 eV/atom
* E_form (uncorrected): -394 meV/atom
* space-group type: No. 166

Lattice parameters (Å, degrees): 9.4343 9.4343 9.4343 26.36 26.36 26.36
With the nearest neighbours (Å) after each atom.
Sites, in units of the cell vectors:
Tb  0.0000  0.0000  0.0000  6 Si 3.12, 6 Al 3.15
Ce  0.1377  0.1377  0.1377  3 Ce 2.94, 3 Al 3.08, 3 Si 3.11
Ce  0.8623  0.8623  0.8623  3 Ce 2.94, 3 Al 3.08, 3 Si 3.11
Al  0.4043  0.4043  0.4043  3 Si 2.48
Al  0.5957  0.5957  0.5957  3 Si 2.48
Si  0.2644  0.2644  0.2644  3 Al 2.48
Si  0.7356  0.7356  0.7356  3 Al 2.48

=====

# 6
Compound: YIn2SiNi
Source: Alexandria
Functional: PBE-GGA
Structure: relaxed

* electronic total energy: -4.07 eV/atom
* E_form (uncorrected): 562 meV/atom
* space-group type: No. 123

Lattice parameters (Å, degrees): 5.0100 5.0100 5.3568 90.00 90.00 90.00
With the nearest neighbours (Å) after each atom.
Sites, in units of the cell vectors:
Y  0.0000  0.0000  0.0000  2 Si 2.68
In  0.0000  0.5000  0.5000  2 Si 2.50
In  0.5000  0.0000  0.5000  2 Si 2.50
Si  0.0000  0.0000  0.5000  4 In 2.50, 2 Y 2.68
Ni  0.5000  0.5000  0.0000  4 Y 3.54, 8 In 3.67

=====

# 7
Compound: PmNdPu2P4
Source: Alexandria
Functional: PBE-GGA
Structure: relaxed

* formation energy: -1.323 eV/atom
* electronic total energy: -8.80 eV/atom
* space-group type: No. 139

Lattice parameters (Å, degrees): 7.0515 7.0515 7.0515 131.76 131.76 70.61
With the nearest neighbours (Å) after each atom.
Sites, in units of the cell vectors:
Pm  0.0000  0.0000  0.0000  6 P 2.87-2.88
Nd  0.5000  0.5000  0.0000  6 P 2.88-2.89
Pu  0.2500  0.7500  0.5000  6 P 2.88
Pu  0.7500  0.2500  0.5000  6 P 2.88
P  0.0000  0.5000  0.5000  2 Pu 2.88, 2 Nd 2.88, 2 Pm 2.88
P  0.2492  0.2492  0.0000  1 Pm 2.87, 4 Pu 2.88, 1 Nd 2.89
P  0.5000  0.0000  0.5000  2 Pu 2.88, 2 Nd 2.88, 2 Pm 2.88
P  0.7508  0.7508  0.0000  1 Pm 2.87, 4 Pu 2.88, 1 Nd 2.89

=====

# 8
Compound: EuAg2Pd
Source: Alexandria
Functional: PBE-GGA
Structure: relaxed

* formation energy: -0.182 eV/atom
* electronic total energy: -5.47 eV/atom
* space-group type: No. 225

Lattice parameters (Å, degrees): 4.9410 4.9410 4.9410 60.00 60.00 60.00
With the nearest neighbours (Å) after each atom.
Sites, in units of the cell vectors:
Eu  0.0000  0.0000  0.0000  8 Ag 3.03
Ag  0.2500  0.2500  0.2500  4 Pd 3.03, 4 Eu 3.03
Ag  0.7500  0.7500  0.7500  4 Pd 3.03, 4 Eu 3.03
Pd  0.5000  0.5000  0.5000  8 Ag 3.03